A relaxed structure of NaZnGe, computed with PBE-GGA.

calculated total energy = -27.6 eV/cell

a = 6.4005 Å, b = 6.4005 Å, c = 6.4005 Å
α = 90.00°, β = 90.00°, γ = 90.00°
Last column: nearest neighbours and their distance in Å.
Space group F-43m (No. 216)
Inequivalent atoms, fractional coordinates:
Na 0.0000 0.0000 0.0000  4 Ge 2.77
Zn 0.0000 0.0000 0.5000  4 Ge 2.77
Ge 0.2500 0.2500 0.2500  4 Na 2.77, 4 Zn 2.77

***

A relaxed structure of TbYNO, computed with PBE-GGA.

calculated total energy = -66.4 eV/cell
E above lowest polymorph = 101.3 meV/atom
total magnetization = 0.02 μB per cell

a = 4.8798 Å, b = 3.9767 Å, c = 6.9179 Å
α = 90.00°, β = 90.00°, γ = 90.00°
Last column: nearest neighbours and their distance in Å.
Space group Pmma (No. 51)
Inequivalent atoms, fractional coordinates:
Tb 0.2500 0.0000 0.1652  2 N 2.31, 3 O 2.35-2.44
Y 0.2500 0.5000 0.6665  2 O 2.27, 3 N 2.29-2.44
N 0.2500 0.5000 0.3362  3 Y 2.29-2.44, 2 Tb 2.31
O 0.2500 0.0000 0.8259  2 Y 2.27, 3 Tb 2.35-2.44

***

A relaxed structure of Ba2CdPd, computed with PBE-GGA.

calculated total energy = -42.6 eV/cell

a = 7.7794 Å, b = 7.7794 Å, c = 7.7794 Å
α = 90.00°, β = 90.00°, γ = 90.00°
Last column: nearest neighbours and their distance in Å.
Space group F-43m (No. 216)
Inequivalent atoms, fractional coordinates:
Ba 0.0000 0.0000 0.0000  4 Cd 3.37, 4 Ba 3.37
Ba 0.2500 0.2500 0.2500  4 Ba 3.37, 4 Pd 3.37
Cd 0.2500 0.2500 0.7500  4 Ba 3.37, 4 Pd 3.37
Pd 0.0000 0.0000 0.5000  4 Cd 3.37, 4 Ba 3.37

***

A relaxed structure of Ga2NiAs, computed with PBE-GGA.

calculated total energy = -63.3 eV/cell
total magnetization = 0.01 μB per cell

a = 6.3525 Å, b = 6.3525 Å, c = 6.3525 Å
α = 90.00°, β = 90.00°, γ = 90.00°
Last column: nearest neighbours and their distance in Å.
Space group F-43m (No. 216)
Inequivalent atoms, fractional coordinates:
Ga 0.0000 0.0000 0.0000  4 Ga 2.75, 4 Ni 2.75
Ga 0.2500 0.2500 0.2500  4 As 2.75, 4 Ga 2.75
Ni 0.2500 0.2500 0.7500  4 As 2.75, 4 Ga 2.75
As 0.0000 0.0000 0.5000  4 Ni 2.75, 4 Ga 2.75

***

A relaxed structure of PrCuSn, computed with PBE-GGA.

calculated total energy = -28.5 eV/cell
total magnetization = 0.00 μB per cell

a = 4.5837 Å, b = 4.5837 Å, c = 6.9421 Å
α = 90.00°, β = 90.00°, γ = 90.00°
Last column: nearest neighbours and their distance in Å.
Space group P4/nmm (No. 129, origin choice 2)
Inequivalent atoms, fractional coordinates:
Pr 0.2500 0.2500 0.2070  4 Cu 3.06, 5 Sn 3.28-3.36
Cu 0.2500 0.7500 0.5000  4 Sn 2.77, 4 Pr 3.06
Sn 0.2500 0.2500 0.7228  4 Cu 2.77

***

A relaxed structure of CoB2As, computed with PBE-GGA.

calculated total energy = -80.4 eV/cell
total magnetization = 0.02 μB per cell

a = 5.4895 Å, b = 5.4895 Å, c = 5.4895 Å
α = 90.00°, β = 90.00°, γ = 90.00°
Last column: nearest neighbours and their distance in Å.
Space group F-43m (No. 216)
Inequivalent atoms, fractional coordinates:
Co 0.0000 0.0000 0.0000  4 As 2.38, 4 B 2.38
B 0.0000 0.0000 0.5000  4 As 2.38, 4 B 2.38
B 0.2500 0.2500 0.2500  4 Co 2.38, 4 B 2.38
As 0.2500 0.2500 0.7500  4 Co 2.38, 4 B 2.38